Entry from Alexandria via LeMat-Bulk: Dy2In3Cu after structural relaxation (PBEsol).

The density of states at the Fermi level comes out at 1.03 states/eV/cell. The energy relative to the elements is -0.453 eV per atom. As for the total magnetic moment: 0.00 μB per formula unit.

The structure belongs to space group P3m1 (No. 156); the cell edges are 4.6439, 4.6439 and 7.3202 Å and the angles 90.00°, 90.00° and 120.00°. Symmetry generates all atoms from Dy at (0.0000, 0.0000, 0.0000), Dy at (0.0000, 0.0000, 0.4611), In at (0.3333, 0.6667, 0.6718), In at (0.6667, 0.3333, 0.2198), In at (0.6667, 0.3333, 0.7881) and Cu at (0.3333, 0.6667, 0.2831).